Version A
## Na6B7C5 (PBE-GGA)

Data for Na6B7C5 after structural relaxation.

The structure in POSCAR format:
```
Na6B7C5
1.0
-1.655 0.726 7.413
-0.934 -1.825 -7.349
3.300 -7.688 1.490
C Na B
5 6 7
Direct
0.559 0.441 0.250 C
0.218 0.782 0.250 C
0.778 0.222 0.750 C
0.111 0.889 0.750 C
0.444 0.556 0.750 C
0.667 0.333 0.503 Na
0.332 0.668 0.501 Na
0.000 0.000 0.505 Na
0.000 0.000 0.995 Na
0.332 0.668 0.999 Na
0.667 0.333 0.997 Na
0.889 0.111 0.750 B
0.223 0.777 0.750 B
0.113 0.887 0.250 B
0.457 0.543 0.250 B
0.771 0.229 0.250 B
0.883 0.117 0.250 B
0.556 0.444 0.750 B
```


Version B
## Na6B7C5 (PBE-GGA)

Data for Na6B7C5 after structural relaxation.

The structure in POSCAR format:
```
Na6B7C5
1.0
-3.687 -2.639 -1.967
2.198 -1.537 4.152
-5.594 4.394 4.589
B Na C
7 6 5
Direct
0.986 0.653 0.750 B
0.667 0.667 0.250 B
0.333 0.347 0.750 B
0.000 0.333 0.250 B
0.333 0.000 0.250 B
0.333 0.000 0.750 B
0.681 0.000 0.750 B
0.999 0.000 0.500 Na
0.668 0.334 0.000 Na
0.333 0.666 0.000 Na
0.333 0.666 0.500 Na
0.668 0.334 0.500 Na
0.999 0.000 0.000 Na
0.667 0.667 0.750 C
0.000 0.333 0.750 C
0.000 0.667 0.250 C
0.333 0.333 0.250 C
0.667 0.000 0.250 C
```


It turns out version A is the most stable, with the second structure 16 meV per atom higher.


Version A
## Na5B6C4 (PBE-GGA)

Data for Na5B6C4 after structural relaxation.

The structure in POSCAR format:
```
Na5B6C4
1.0
1.551 0.444 -7.409
0.978 -4.312 -6.160
-9.300 2.100 3.729
B C Na
12 8 10
Direct
0.434 0.766 0.250 B
0.766 0.434 0.750 B
0.834 0.166 0.250 B
0.968 0.632 0.250 B
0.617 0.983 0.250 B
0.166 0.834 0.750 B
0.569 0.242 0.750 B
0.242 0.569 0.250 B
0.031 0.358 0.250 B
0.983 0.617 0.750 B
0.358 0.031 0.750 B
0.632 0.968 0.750 B
0.366 0.031 0.250 C
0.234 0.569 0.750 C
0.426 0.768 0.750 C
0.768 0.426 0.250 C
0.832 0.174 0.750 C
0.174 0.832 0.250 C
0.569 0.234 0.250 C
0.031 0.366 0.750 C
0.000 0.999 0.498 Na
0.397 0.400 0.998 Na
0.800 0.800 0.500 Na
0.601 0.600 0.002 Na
0.999 0.000 0.998 Na
0.400 0.397 0.498 Na
0.600 0.601 0.502 Na
0.800 0.800 0.000 Na
0.203 0.200 0.002 Na
0.200 0.203 0.502 Na
```


Version B
## Na5B6C4 (PBE-GGA)

Data for Na5B6C4 after structural relaxation.

The structure in POSCAR format:
```
Na5B6C4
1.0
-9.561 -3.115 -5.411
-7.752 -3.801 -7.474
3.119 -7.697 5.293
C B Na
8 12 10
Direct
0.122 0.122 0.994 C
0.282 0.282 0.817 C
0.083 0.083 0.414 C
0.882 0.882 0.017 C
0.717 0.717 0.184 C
0.683 0.683 0.616 C
0.312 0.312 0.374 C
0.483 0.483 0.214 C
0.186 0.186 0.123 B
0.983 0.983 0.715 B
0.416 0.416 0.082 B
0.374 0.374 0.498 B
0.816 0.816 0.884 B
0.915 0.915 0.580 B
0.592 0.592 0.933 B
0.780 0.780 0.311 B
0.522 0.522 0.794 B
0.616 0.616 0.481 B
0.016 0.016 0.281 B
0.216 0.216 0.683 B
0.600 0.600 0.202 Na
0.500 0.500 0.500 Na
0.701 0.701 0.900 Na
0.300 0.300 0.099 Na
0.000 0.000 0.001 Na
0.101 0.101 0.700 Na
0.900 0.900 0.297 Na
0.799 0.799 0.601 Na
0.199 0.199 0.402 Na
0.400 0.400 0.800 Na
```


Version C
## Na5B6C4 (PBE-GGA)

Data for Na5B6C4 after structural relaxation.

The structure in POSCAR format:
```
Na5B6C4
1.0
11.042 0.110 -2.798
10.650 2.916 -2.798
-0.607 -0.085 9.825
Na C B
10 8 12
Direct
0.000 0.000 0.000 Na
0.101 0.101 0.702 Na
0.200 0.200 0.401 Na
0.899 0.899 0.298 Na
0.700 0.700 0.902 Na
0.500 0.500 0.500 Na
0.300 0.300 0.098 Na
0.599 0.599 0.202 Na
0.800 0.800 0.599 Na
0.401 0.401 0.798 Na
0.687 0.687 0.625 C
0.284 0.284 0.819 C
0.118 0.118 0.987 C
0.313 0.313 0.375 C
0.716 0.716 0.181 C
0.521 0.521 0.793 C
0.479 0.479 0.207 C
0.882 0.882 0.013 C
0.011 0.011 0.271 B
0.622 0.622 0.496 B
0.989 0.989 0.729 B
0.219 0.219 0.689 B
0.082 0.082 0.415 B
0.918 0.918 0.585 B
0.413 0.413 0.076 B
0.184 0.184 0.118 B
0.378 0.378 0.504 B
0.781 0.781 0.311 B
0.816 0.816 0.882 B
0.587 0.587 0.924 B
```


It turns out version C is the most stable, with the second structure 10 meV per atom higher.


Version A
## Na5B6C4 (PBE-GGA)

Data for Na5B6C4 after structural relaxation.

The structure in POSCAR format:
```
Na5B6C4
1.0
-7.061 4.656 -2.925
-8.225 2.075 -2.853
1.160 -0.158 13.077
Na C B
10 8 12
Direct
0.400 0.400 0.798 Na
0.200 0.200 0.402 Na
0.001 0.001 0.999 Na
0.000 0.000 0.500 Na
0.800 0.800 0.100 Na
0.199 0.199 0.900 Na
0.600 0.600 0.700 Na
0.800 0.800 0.600 Na
0.401 0.401 0.300 Na
0.599 0.599 0.201 Na
0.364 0.364 0.975 C
0.168 0.168 0.587 C
0.030 0.030 0.808 C
0.432 0.432 0.613 C
0.767 0.767 0.781 C
0.236 0.236 0.225 C
0.833 0.833 0.419 C
0.570 0.570 0.392 C
0.428 0.428 0.105 B
0.967 0.967 0.186 B
0.832 0.832 0.911 B
0.768 0.768 0.289 B
0.633 0.633 0.014 B
0.172 0.172 0.095 B
0.964 0.964 0.677 B
0.038 0.038 0.329 B
0.562 0.562 0.871 B
0.234 0.234 0.717 B
0.366 0.366 0.483 B
0.636 0.636 0.523 B
```


Version B
## Na5B6C4 (PBE-GGA)

Data for Na5B6C4 after structural relaxation.

The structure in POSCAR format:
```
Na5B6C4
1.0
-3.761 -10.829 -5.151
5.926 10.566 3.344
4.370 -4.305 5.858
B C Na
12 8 10
Direct
0.269 0.731 0.250 B
0.734 0.266 0.750 B
0.473 0.527 0.250 B
0.731 0.269 0.250 B
0.533 0.467 0.750 B
0.134 0.866 0.750 B
0.334 0.666 0.750 B
0.864 0.136 0.250 B
0.933 0.067 0.250 B
0.934 0.066 0.750 B
0.661 0.339 0.250 B
0.067 0.933 0.250 B
0.267 0.733 0.750 C
0.131 0.869 0.250 C
0.667 0.333 0.750 C
0.333 0.667 0.250 C
0.067 0.933 0.750 C
0.467 0.533 0.750 C
0.867 0.133 0.750 C
0.536 0.464 0.250 C
0.400 0.600 0.000 Na
0.400 0.600 0.500 Na
0.800 0.200 0.999 Na
0.200 0.800 0.000 Na
0.600 0.400 0.997 Na
0.600 0.400 0.503 Na
0.200 0.800 0.500 Na
0.000 0.000 0.502 Na
0.000 0.000 0.998 Na
0.800 0.200 0.501 Na
```


Version C
## Na5B6C4 (PBE-GGA)

Data for Na5B6C4 after structural relaxation.

The structure in POSCAR format:
```
Na5B6C4
1.0
11.058 0.113 -2.804
10.666 2.918 -2.804
-0.617 -0.086 9.820
B C Na
12 8 10
Direct
0.377 0.377 0.504 B
0.781 0.781 0.311 B
0.682 0.682 0.615 B
0.819 0.819 0.889 B
0.184 0.184 0.118 B
0.989 0.989 0.728 B
0.587 0.587 0.924 B
0.223 0.223 0.696 B
0.013 0.013 0.276 B
0.918 0.918 0.585 B
0.416 0.416 0.082 B
0.611 0.611 0.472 B
0.715 0.715 0.181 C
0.313 0.313 0.375 C
0.521 0.521 0.791 C
0.079 0.079 0.409 C
0.482 0.482 0.212 C
0.118 0.118 0.988 C
0.885 0.885 0.019 C
0.287 0.287 0.825 C
0.401 0.401 0.799 Na
0.800 0.800 0.600 Na
0.499 0.499 0.501 Na
0.600 0.600 0.200 Na
0.000 0.000 0.000 Na
0.300 0.300 0.100 Na
0.199 0.199 0.401 Na
0.701 0.701 0.901 Na
0.101 0.101 0.699 Na
0.899 0.899 0.299 Na
```


Version D
## Na5B6C4 (PBE-GGA)

Data for Na5B6C4 after structural relaxation.

The structure in POSCAR format:
```
Na5B6C4
1.0
-5.822 4.482 -1.862
1.583 -6.750 3.063
0.278 3.554 7.688
B Na C
12 10 8
Direct
0.066 0.266 0.750 B
0.731 0.941 0.250 B
0.658 0.670 0.750 B
0.284 0.084 0.750 B
0.932 0.732 0.750 B
0.668 0.668 0.250 B
0.534 0.134 0.250 B
0.942 0.730 0.250 B
0.134 0.534 0.250 B
0.316 0.316 0.250 B
0.466 0.866 0.750 B
0.869 0.459 0.750 B
0.599 0.399 0.000 Na
0.800 0.200 0.500 Na
0.001 0.001 0.500 Na
0.001 0.001 0.000 Na
0.400 0.600 0.498 Na
0.200 0.800 0.502 Na
0.599 0.399 0.500 Na
0.200 0.800 0.998 Na
0.800 0.200 0.000 Na
0.400 0.600 0.002 Na
0.726 0.932 0.750 C
0.332 0.334 0.750 C
0.534 0.132 0.750 C
0.132 0.526 0.750 C
0.874 0.468 0.250 C
0.066 0.268 0.250 C
0.268 0.066 0.250 C
0.468 0.874 0.250 C
```


It turns out version C is the most stable, with the second structure 6 meV per atom higher.